Below is a geometry-optimized TbAlFeO4 structure, with properties calculated at the PBE+U level.

Cell: 6.2091 6.2091 6.2091 Å, 121.00 117.55 91.28°
With the nearest neighbours (Å) after each atom.
Atoms (fractional coordinates):
Tb  0.0000  0.0000  0.0000  6 O 2.27-2.28
Tb  0.5000  0.0000  0.5000  6 O 2.27-2.28
Al  0.3719  0.6219  0.7500  4 O 1.81-1.84
Al  0.6281  0.3781  0.2500  4 O 1.81-1.84
Fe  0.0000  0.0000  0.5000  6 O 2.16-2.27
Fe  0.0000  0.5000  0.0000  6 O 2.16-2.27
O  0.2482  0.2589  0.5107  1 Al 1.81
O  0.2478  0.7375  0.5103  1 Al 1.84
O  0.2482  0.7375  0.9893  1 Al 1.81
O  0.2729  0.2625  0.0103  1 Al 1.84
O  0.7271  0.7375  0.9897  1 Al 1.84
O  0.7518  0.2625  0.0107  1 Al 1.81
O  0.7522  0.2625  0.4897  1 Al 1.84
O  0.7518  0.7411  0.4893  1 Al 1.81

Properties
Its total magnetic moment is 0.572 μB per atom. Its space group is Imma, No. 74. As for the raw total energy: -7.456 eV/atom.